Entry from the Alexandria database: an optimized crystal structure of RbSmSnS4 (PBE).

Geometry as extended XYZ:
```
14
Lattice="6.861 0.000 -0.051 0.000 6.989 0.000 -2.757 0.000 8.838" Properties=species:S:1:pos:R:3 pbc="T T T"
Rb 2.454 5.241 8.279
Rb 1.650 1.747 0.507
Sm 4.147 5.241 3.937
Sm -0.043 1.747 4.850
Sn 0.728 5.241 2.948
Sn 3.375 1.747 5.838
S -1.885 3.550 6.180
S 5.988 0.055 2.607
S 5.988 3.439 2.607
S -1.885 6.933 6.180
S 2.609 5.241 1.503
S 1.494 1.747 7.284
S 1.601 5.241 5.166
S 2.503 1.747 3.621
```

- uncorrected formation energy (meV per atom) = -1208
- N(E_F) (states/eV/cell) = 0.000
- size of the total moment (μB per formula unit) = 0.0
- symmetry = P2_1/m, No. 11

***

Entry from the Alexandria database: an optimized crystal structure of ErPuMgIr (PBE).

Geometry as extended XYZ:
```
4
Lattice="4.991 0.000 0.000 2.495 4.322 0.000 2.495 1.441 4.075" Properties=species:S:1:pos:R:3 pbc="T T T"
Er 7.486 4.322 3.056
Mg 4.991 2.881 2.037
Ir 0.000 0.000 0.000
Pu 2.495 1.441 1.019
```

- N(E_F) (states/eV/cell) = 5.787
- DFT formation energy (meV/atom) = -274.7
- size of the total moment (μB per formula unit) = 5.2
- symmetry = F-43m, No. 216

***

Entry from the Alexandria database: an optimized crystal structure of K4Pu3ThO12 (PBE).

Geometry as extended XYZ:
```
20
Lattice="-0.145 7.034 -2.623 -6.997 -2.237 1.554 4.155 -0.256 6.249" Properties=species:S:1:pos:R:3 pbc="T T T"
K -1.494 2.271 2.590
K 2.078 -0.128 3.125
K -0.073 3.517 -1.311
K -3.499 -1.119 0.777
Pu 2.005 3.389 1.813
Pu -3.571 2.399 -0.535
Pu -1.421 -1.247 3.901
Th 0.000 0.000 0.000
O -0.419 0.448 4.808
O 2.955 4.995 2.672
O 1.055 1.784 0.954
O -2.569 4.093 0.372
O -5.263 3.535 -0.788
O -1.879 1.262 -0.281
O 0.219 4.589 1.546
O -3.207 -0.047 3.634
O 1.294 2.766 3.764
O -2.094 -1.837 5.750
O -4.282 1.775 1.416
O -0.748 -0.656 2.053
```

- uncorrected formation energy (meV per atom) = -2647
- N(E_F) (states/eV/cell) = 14.536
- size of the total moment (μB per formula unit) = 8.0
- symmetry = Im-3m, No. 229

***

Entry from the Alexandria database: an optimized crystal structure of MnFePd14 (PBE).

Geometry as extended XYZ:
```
16
Lattice="5.564 -0.012 0.000 0.012 5.564 0.000 0.000 0.000 7.839" Properties=species:S:1:pos:R:3 pbc="T T T"
Mn 4.878 4.858 3.920
Fe 2.091 2.082 3.920
Pd 4.878 4.858 0.000
Pd 2.091 2.082 0.000
Pd 4.873 2.076 3.920
Pd 4.873 2.076 0.000
Pd 2.097 4.864 3.920
Pd 2.097 4.864 0.000
Pd 3.472 0.695 2.011
Pd 3.472 0.695 5.828
Pd 0.710 3.469 2.011
Pd 0.710 3.469 5.828
Pd 3.477 3.463 2.011
Pd 3.477 3.463 5.828
Pd 0.704 0.701 2.012
Pd 0.704 0.701 5.828
```

- N(E_F) (states/eV/cell) = 26.285
- DFT formation energy (meV/atom) = -79.7
- size of the total moment (μB per formula unit) = 11.2
- symmetry = P4/mmm, No. 123

***

Entry from the Alexandria database: an optimized crystal structure of LaMg2Cl6 (PBE).

Geometry as extended XYZ:
```
9
Lattice="-2.378 2.973 -0.427 -1.363 -2.628 6.481 7.207 6.528 5.315" Properties=species:S:1:pos:R:3 pbc="T T T"
La 3.603 3.264 2.658
Mg 3.329 6.088 6.658
Mg 0.137 0.786 4.711
Cl 2.093 5.365 8.511
Cl -2.131 1.424 4.594
Cl 5.596 5.449 6.776
Cl 2.418 5.074 4.674
Cl 1.047 1.799 6.695
Cl 1.372 1.508 2.859
```

- uncorrected formation energy (meV per atom) = -1856
- N(E_F) (states/eV/cell) = 2.791
- size of the total moment (μB per formula unit) = 0.3
- symmetry = C2/m, No. 12

***

Entry from the Alexandria database: an optimized crystal structure of Ba3Bi4Pb2 (PBE).

Geometry as extended XYZ:
```
9
Lattice="-4.580 -2.503 -0.518 3.941 -6.587 -2.988 1.902 0.149 9.066" Properties=species:S:1:pos:R:3 pbc="T T T"
Ba 2.162 -4.078 0.615
Ba -0.899 -4.863 4.945
Ba 0.000 0.000 0.000
Bi 0.429 -5.798 -2.309
Bi 0.747 -2.011 3.170
Bi 0.834 -3.143 7.869
Bi 0.516 -6.929 2.390
Pb -2.403 -1.643 2.664
Pb 3.666 -7.298 2.896
```

- N(E_F) (states/eV/cell) = 3.373
- DFT formation energy (meV/atom) = -590.4
- size of the total moment (μB per formula unit) = 0.0
- symmetry = P-1, No. 2
- energy above the most stable polymorph in this dataset (meV per atom) = 0.0

***

Entry from the Alexandria database: an optimized crystal structure of Rb3Al5Se12 (PBE).

Geometry as extended XYZ:
```
80
Lattice="14.284 0.000 0.000 -4.761 13.467 0.000 -4.761 -6.734 11.663" Properties=species:S:1:pos:R:3 pbc="T T T"
Rb 8.332 4.209 1.458
Rb 8.332 9.259 1.458
Rb -1.190 5.892 7.289
Rb 1.190 -0.842 4.374
Rb 10.713 0.000 2.916
Rb 1.190 6.734 2.916
Rb 3.571 0.000 8.747
Rb -5.952 6.734 8.747
Rb 3.571 7.575 7.289
Rb 5.952 0.842 4.374
Rb -3.571 -2.525 10.205
Rb -3.571 2.525 10.205
Al -1.190 3.367 2.916
Al -2.381 6.734 0.000
Al 0.000 0.000 0.000
Al 3.571 2.525 1.458
Al 4.761 -3.367 5.832
Al 4.761 6.734 0.000
Al -3.571 7.575 4.374
Al 5.952 -4.209 10.205
Al 5.952 5.892 4.374
Al 1.190 -3.367 8.747
Al 3.571 10.100 2.916
Al 2.381 3.367 5.832
Al 7.142 0.000 0.000
Al -2.381 -3.367 5.832
Al -1.190 0.842 7.289
Al -1.190 10.942 1.458
Al -4.761 3.367 5.832
Al 8.332 -0.842 7.289
Al 1.190 4.209 10.205
Al 5.952 3.367 8.747
Se 9.472 1.160 0.111
Se 0.051 4.043 4.882
Se 10.756 3.466 3.539
Se 5.909 2.035 1.060
Se 2.063 4.755 8.014
Se 10.489 6.570 2.182
Se -1.233 8.165 4.599
Se -3.528 11.432 1.060
Se 0.317 8.713 8.014
Se 6.176 6.897 2.182
Se 7.193 3.851 4.771
Se 7.193 12.307 0.111
Se -4.444 5.950 5.942
Se 3.347 4.926 1.233
Se -4.812 9.616 4.771
Se 2.431 -2.691 6.781
Se -0.317 1.196 2.293
Se 3.347 8.705 0.950
Se 5.909 10.001 3.539
Se -0.967 4.762 0.950
Se -2.698 7.930 9.370
Se 3.614 5.303 4.599
Se 6.825 7.517 5.942
Se 5.728 -1.808 10.431
Se 1.147 1.431 7.064
Se -2.063 -0.783 5.721
Se -0.967 8.542 1.233
Se -1.147 -3.267 8.124
Se 7.459 -1.196 2.293
Se 5.728 1.971 10.713
Se 1.414 -1.971 10.713
Se 2.330 9.424 4.882
Se 5.079 5.538 9.370
Se 9.573 -2.882 6.892
Se 9.205 0.783 5.721
Se -2.431 -5.573 11.552
Se 1.414 1.808 10.431
Se 4.444 -1.979 3.649
Se -1.414 -0.163 9.481
Se -2.431 2.882 6.892
Se 8.289 -4.698 10.603
Se 5.995 -1.431 7.064
Se -1.147 4.698 10.603
Se -5.728 0.163 9.481
Se 2.698 1.979 3.649
Se -5.995 3.267 8.124
Se 4.711 2.691 6.781
Se -4.711 5.573 11.552
```

- uncorrected formation energy (meV per atom) = -547
- N(E_F) (states/eV/cell) = 97.263
- size of the total moment (μB per formula unit) = 1.5
- symmetry = Ia-3d, No. 230

***

Entry from the Alexandria database: an optimized crystal structure of NdVP2 (PBE).

Geometry as extended XYZ:
```
4
Lattice="-1.345 -3.222 -1.302 1.626 0.651 -3.289 4.757 -1.514 4.162" Properties=species:S:1:pos:R:3 pbc="T T T"
Nd 2.220 -0.485 -2.236
V 3.856 -2.209 0.341
P 2.034 -3.164 -0.748
P 4.192 -3.193 2.423
```

- N(E_F) (states/eV/cell) = 2.047
- DFT formation energy (meV/atom) = -715.2
- size of the total moment (μB per formula unit) = 1.7
- symmetry = I-4m2, No. 119
- energy above the most stable polymorph in this dataset (meV per atom) = 0.0

***

Number 1: raw total energy -69.31 eV per cell. Number 2: raw total energy -30.45 eV per cell. Number 3: raw total energy -167.25 eV per cell. Number 4: raw total energy -91.61 eV per cell. Number 5: raw total energy -35.90 eV per cell. Number 6: raw total energy -34.02 eV per cell. Number 7: raw total energy -297.51 eV per cell. Number 8: raw total energy -27.57 eV per cell.